1.
A geometry-optimized CaSm4Tm3S8 structure. Source: Alexandria, functional PBE-GGA.

Values from the calculation:
Fermi-level density of states	7.8	states/eV/f.u.
E_form (uncorrected)	-1996.3	meV per atom

The structure in CIF format:
```
data_CaSm4Tm3S8
_chemical_formula_sum 'Ca3 Sm12 Tm9 S24'
_space_group_name_H-M_alt 'R -3 m'
_space_group_IT_number 166
_space_group_name_Hall '-R 3 2"'
_cell_length_a 7.8441
_cell_length_b 7.8441
_cell_length_c 19.5594
_cell_angle_alpha 90.00
_cell_angle_beta 90.00
_cell_angle_gamma 120.00
loop_
_atom_site_label
_atom_site_fract_x
_atom_site_fract_y
_atom_site_fract_z
_atom_site_occupancy
Ca1 0.0000 0.0000 0.0000 1
Sm1 0.0000 0.0000 0.5000 1
Sm2 0.0000 0.5000 0.5000 1
Tm1 0.0000 0.5000 0.0000 1
S1 0.0000 0.0000 0.2555 1
S2 0.0039 0.5019 0.2546 1
```

=====

2.
A geometry-optimized CaSmTm2S4 structure. Source: Alexandria, functional PBE-GGA.

Values from the calculation:
Fermi-level density of states	2.6	states/eV/f.u.
E_form (uncorrected)	-2000.7	meV per atom

The structure in CIF format:
```
data_CaSmTm2S4
_chemical_formula_sum 'Ca1 Sm1 Tm2 S4'
_space_group_name_H-M_alt 'P 1 2/m 1'
_space_group_IT_number 10
_space_group_name_Hall '-P 2y'
_cell_length_a 6.805
_cell_length_b 3.903
_cell_length_c 6.811
_cell_angle_alpha 90.00
_cell_angle_beta 109.10
_cell_angle_gamma 90.00
loop_
_atom_site_label
_atom_site_fract_x
_atom_site_fract_y
_atom_site_fract_z
_atom_site_occupancy
Ca1 0.000 0.000 0.000 1
Sm1 0.000 0.500 0.500 1
Tm1 0.500 0.000 0.500 1
Tm2 0.500 0.500 0.000 1
S1 0.262 0.500 0.251 1
S2 0.263 0.000 0.758 1
```

=====

3.
A geometry-optimized Ca2SmTmS4 structure. Source: Alexandria, functional PBE-GGA.

Values from the calculation:
Fermi-level density of states	3.4	states/eV/f.u.
E_form (uncorrected)	-2040.8	meV per atom

The structure in CIF format:
```
data_Ca2SmTmS4
_chemical_formula_sum 'Ca2 Sm1 Tm1 S4'
_space_group_name_H-M_alt 'P 1 2/m 1'
_space_group_IT_number 10
_space_group_name_Hall '-P 2y'
_cell_length_a 6.847
_cell_length_b 3.948
_cell_length_c 6.946
_cell_angle_alpha 90.00
_cell_angle_beta 109.12
_cell_angle_gamma 90.00
loop_
_atom_site_label
_atom_site_fract_x
_atom_site_fract_y
_atom_site_fract_z
_atom_site_occupancy
Ca1 0.000 0.000 0.000 1
Ca2 0.500 0.500 0.000 1
Sm1 0.000 0.500 0.500 1
Tm1 0.500 0.000 0.500 1
S1 0.257 0.000 0.749 1
S2 0.259 0.500 0.257 1
```

=====

4.
A geometry-optimized CaSmY4S8 structure. Source: Alexandria, functional PBE-GGA.

Values from the calculation:
Fermi-level density of states	3.6	states/eV/f.u.
E_form (uncorrected)	-2002.2	meV per atom

The structure in CIF format:
```
data_CaSmY4S8
_chemical_formula_sum 'Ca3 Sm3 Y12 S24'
_space_group_name_H-M_alt 'R 3 m'
_space_group_IT_number 160
_space_group_name_Hall 'R 3 -2"'
_cell_length_a 8.1139
_cell_length_b 8.1139
_cell_length_c 20.0051
_cell_angle_alpha 90.00
_cell_angle_beta 90.00
_cell_angle_gamma 120.00
loop_
_atom_site_label
_atom_site_fract_x
_atom_site_fract_y
_atom_site_fract_z
_atom_site_occupancy
Ca1 0.0000 0.0000 0.0000 1
Sm1 0.0000 0.0000 0.6274 1
Y1 0.0000 0.0000 0.2507 1
Y2 0.1692 0.3383 0.4582 1
S1 0.0000 0.0000 0.3836 1
S2 0.0000 0.0000 0.8650 1
S3 0.0243 0.5122 0.3806 1
S4 0.1756 0.3512 0.2046 1
```

=====

5.
A geometry-optimized CaSm3Y2S6 structure. Source: Alexandria, functional PBE-GGA.

Values from the calculation:
Fermi-level density of states	5.2	states/eV/f.u.
E_form (uncorrected)	-2027.4	meV per atom

The structure in CIF format:
```
data_CaSm3Y2S6
_chemical_formula_sum 'Ca2 Sm6 Y4 S12'
_space_group_name_H-M_alt 'C 1 2/m 1'
_space_group_IT_number 12
_space_group_name_Hall '-C 2y'
_cell_length_a 6.869
_cell_length_b 11.907
_cell_length_c 6.914
_cell_angle_alpha 90.00
_cell_angle_beta 109.23
_cell_angle_gamma 90.00
loop_
_atom_site_label
_atom_site_fract_x
_atom_site_fract_y
_atom_site_fract_z
_atom_site_occupancy
Ca1 0.000 0.000 0.000 1
Sm1 0.000 0.165 0.500 1
Sm2 0.000 0.500 0.500 1
Y1 0.000 0.333 0.000 1
S1 0.246 0.500 0.240 1
S2 0.248 0.167 0.243 1
```

=====

6.
A geometry-optimized CaSm4Y3S8 structure. Source: Alexandria, functional PBE-GGA.

Values from the calculation:
Fermi-level density of states	7.8	states/eV/f.u.
E_form (uncorrected)	-2019.7	meV per atom

The structure in CIF format:
```
data_CaSm4Y3S8
_chemical_formula_sum 'Ca3 Sm12 Y9 S24'
_space_group_name_H-M_alt 'R -3 m'
_space_group_IT_number 166
_space_group_name_Hall '-R 3 2"'
_cell_length_a 7.9319
_cell_length_b 7.9319
_cell_length_c 19.5553
_cell_angle_alpha 90.00
_cell_angle_beta 90.00
_cell_angle_gamma 120.00
loop_
_atom_site_label
_atom_site_fract_x
_atom_site_fract_y
_atom_site_fract_z
_atom_site_occupancy
Ca1 0.0000 0.0000 0.0000 1
Sm1 0.0000 0.0000 0.5000 1
Sm2 0.0000 0.5000 0.5000 1
Y1 0.0000 0.5000 0.0000 1
S1 0.0000 0.0000 0.2530 1
S2 0.0008 0.5004 0.2527 1
```

=====

7.
A geometry-optimized Ca3Sm3YS8 structure. Source: Alexandria, functional PBE-GGA.

Values from the calculation:
Fermi-level density of states	4.5	states/eV/f.u.
E_form (uncorrected)	-2086.2	meV per atom

The structure in CIF format:
```
data_Ca3Sm3YS8
_chemical_formula_sum 'Ca9 Sm9 Y3 S24'
_space_group_name_H-M_alt 'R -3 m'
_space_group_IT_number 166
_space_group_name_Hall '-R 3 2"'
_cell_length_a 8.0022
_cell_length_b 8.0022
_cell_length_c 19.7860
_cell_angle_alpha 90.00
_cell_angle_beta 90.00
_cell_angle_gamma 120.00
loop_
_atom_site_label
_atom_site_fract_x
_atom_site_fract_y
_atom_site_fract_z
_atom_site_occupancy
Ca1 0.0000 0.5000 0.0000 1
Sm1 0.0000 0.5000 0.5000 1
Y1 0.0000 0.0000 0.5000 1
S1 0.0000 0.0000 0.2504 1
S2 0.0080 0.5040 0.2471 1
```

=====

8.
A geometry-optimized Ca3SmY3S8 structure. Source: Alexandria, functional PBE-GGA.

Values from the calculation:
Fermi-level density of states	4.6	states/eV/f.u.
E_form (uncorrected)	-2079.4	meV per atom

The structure in CIF format:
```
data_Ca3SmY3S8
_chemical_formula_sum 'Ca9 Sm3 Y9 S24'
_space_group_name_H-M_alt 'R -3 m'
_space_group_IT_number 166
_space_group_name_Hall '-R 3 2"'
_cell_length_a 7.9136
_cell_length_b 7.9136
_cell_length_c 19.6772
_cell_angle_alpha 90.00
_cell_angle_beta 90.00
_cell_angle_gamma 120.00
loop_
_atom_site_label
_atom_site_fract_x
_atom_site_fract_y
_atom_site_fract_z
_atom_site_occupancy
Ca1 0.0000 0.5000 0.0000 1
Sm1 0.0000 0.0000 0.5000 1
Y1 0.0000 0.5000 0.5000 1
S1 0.0000 0.0000 0.2482 1
S2 0.0029 0.5015 0.7526 1
```

=====

9.
A geometry-optimized CaSn2S5 structure. Source: Alexandria, functional PBE-GGA.

Values from the calculation:
energy above the most stable polymorph in this dataset	0.13	kcal/mol of atoms
E_form (uncorrected)	-736.9	meV per atom

The structure in CIF format:
```
data_CaSn2S5
_chemical_formula_sum 'Ca2 Sn4 S10'
_space_group_name_H-M_alt 'P -1'
_space_group_IT_number 2
_space_group_name_Hall '-P 1'
_cell_length_a 6.965
_cell_length_b 7.197
_cell_length_c 9.125
_cell_angle_alpha 104.35
_cell_angle_beta 103.79
_cell_angle_gamma 105.93
loop_
_atom_site_label
_atom_site_fract_x
_atom_site_fract_y
_atom_site_fract_z
_atom_site_occupancy
Ca1 0.132 0.325 0.306 1
Sn1 0.194 0.329 0.757 1
Sn2 0.500 0.000 0.000 1
Sn3 0.500 0.000 0.500 1
S1 0.119 0.745 0.470 1
S2 0.166 0.088 0.899 1
S3 0.210 0.645 0.939 1
S4 0.394 0.089 0.252 1
S5 0.450 0.349 0.617 1
```

=====

10.
A geometry-optimized CaSnS3 structure. Source: Alexandria, functional PBE-GGA.

Values from the calculation:
energy above the most stable polymorph in this dataset	8.84	kcal/mol of atoms
Fermi-level density of states	2.6	states/eV/f.u.
E_form (uncorrected)	-642.5	meV per atom

The structure in CIF format:
```
data_CaSnS3
_chemical_formula_sum 'Ca4 Sn4 S12'
_space_group_name_H-M_alt 'P 63/m m c'
_space_group_IT_number 194
_space_group_name_Hall '-P 6c 2c'
_cell_length_a 6.7986
_cell_length_b 6.7986
_cell_length_c 12.4190
_cell_angle_alpha 90.00
_cell_angle_beta 90.00
_cell_angle_gamma 120.00
loop_
_atom_site_label
_atom_site_fract_x
_atom_site_fract_y
_atom_site_fract_z
_atom_site_occupancy
Ca1 0.0000 0.0000 0.0000 1
Ca2 0.3333 0.6667 0.2500 1
Sn1 0.3333 0.6667 0.6257 1
S1 0.0000 0.5000 0.0000 1
S2 0.1601 0.3202 0.7500 1
```

=====

11.
A geometry-optimized CaSnS3 structure. Source: Alexandria, functional PBE-GGA.

Values from the calculation:
energy above the most stable polymorph in this dataset	4.34	kcal/mol of atoms
Fermi-level density of states	0.8	states/eV/f.u.
E_form (uncorrected)	-837.5	meV per atom

The structure in CIF format:
```
data_CaSnS3
_chemical_formula_sum 'Ca10 Sn10 S30'
_space_group_name_H-M_alt 'C 1 2/m 1'
_space_group_IT_number 12
_space_group_name_Hall '-C 2y'
_cell_length_a 12.126
_cell_length_b 6.780
_cell_length_c 15.298
_cell_angle_alpha 90.00
_cell_angle_beta 93.66
_cell_angle_gamma 90.00
loop_
_atom_site_label
_atom_site_fract_x
_atom_site_fract_y
_atom_site_fract_z
_atom_site_occupancy
Ca1 0.000 0.000 0.000 1
Ca2 0.164 0.500 0.863 1
Ca3 0.241 0.500 0.383 1
Sn1 0.000 0.000 0.500 1
Sn2 0.039 0.000 0.292 1
Sn3 0.188 0.500 0.115 1
S1 0.000 0.500 0.000 1
S2 0.061 0.251 0.623 1
S3 0.088 0.000 0.844 1
S4 0.185 0.242 0.231 1
S5 0.188 0.000 0.433 1
S6 0.250 0.250 0.000 1
```

=====

12.
A geometry-optimized Ca3SnS5 structure. Source: Alexandria, functional PBE-GGA.

Values from the calculation:
energy above the most stable polymorph in this dataset	0.00	kcal/mol of atoms
Fermi-level density of states	0.0	states/eV/f.u.
E_form (uncorrected)	-1461.4	meV per atom

The structure in CIF format:
```
data_Ca3SnS5
_chemical_formula_sum 'Ca27 Sn9 S45'
_space_group_name_H-M_alt 'R 3 m'
_space_group_IT_number 160
_space_group_name_Hall 'R 3 -2"'
_cell_length_a 9.0161
_cell_length_b 9.0161
_cell_length_c 31.7097
_cell_angle_alpha 90.00
_cell_angle_beta 90.00
_cell_angle_gamma 120.00
loop_
_atom_site_label
_atom_site_fract_x
_atom_site_fract_y
_atom_site_fract_z
_atom_site_occupancy
Ca1 0.0024 0.5012 0.0000 1
Ca2 0.0463 0.5231 0.2235 1
Ca3 0.1901 0.3802 0.1097 1
Sn1 0.0000 0.0000 0.2125 1
Sn2 0.0000 0.0000 0.7814 1
Sn3 0.0000 0.0000 0.9914 1
S1 0.0000 0.0000 0.1356 1
S2 0.0000 0.0000 0.3856 1
S3 0.0000 0.0000 0.5016 1
S4 0.0000 0.0000 0.6149 1
S5 0.0000 0.0000 0.7061 1
S6 0.0000 0.0000 0.9145 1
S7 0.0443 0.5222 0.6860 1
S8 0.0527 0.5263 0.9110 1
S9 0.1879 0.3757 0.4717 1
```